Below is a relaxed AgAsH2O4 crystal, with properties calculated at the PBE level.

M_tot	0.000	μB per cell
raw total energy	-5.0495	eV/atom
V	91.1	Å³/cell
SG	No. 23
theoretical density	4.5	g/cm³

a b c (Å): 5.1025 5.1025 5.1025
angles (deg): 131.04 101.42 98.35
Last column: nearest neighbours and their distance in Å.
Element x y z (fractional)
Ag 0.0000 0.0000 0.0000  4 O 2.52
As 0.5000 0.0000 0.5000  4 O 1.74
H 0.3317 0.5000 0.8317  2 O 1.24
H 0.6683 0.5000 0.1683  2 O 1.24
O 0.2166 0.1533 0.5947  1 H 1.24
O 0.4415 0.8467 0.0634  1 H 1.24
O 0.5585 0.6219 0.4053  1 H 1.24
O 0.7834 0.3781 0.9366  1 H 1.24


Below is a relaxed As2PtBrCl crystal, with properties calculated at the PBE level.

M_tot	0.000	μB per cell
raw total energy	-2.4392	eV/atom
relative energy among the computed polymorphs	0.938	eV/atom
N(E_F)	3.45	states/eV per cell
V	118.7	Å³/cell
SG	No. 123
energy relative to the elements, uncorrected	1.33	eV/atom
theoretical density	6.4	g/cm³

a b c (Å): 4.9406 4.9406 4.8617
angles (deg): 90.00 90.00 90.00
Last column: nearest neighbours and their distance in Å.
Element x y z (fractional)
As 0.0000 0.5000 0.0000  2 Cl 2.47
As 0.5000 0.0000 0.0000  2 Cl 2.47
Pt 0.0000 0.0000 0.5000  8 As 3.47, 4 Br 3.49
Br 0.5000 0.5000 0.5000  2 Cl 2.43
Cl 0.5000 0.5000 0.0000  2 Br 2.43, 4 As 2.47